Below is an optimized crystal structure of TeMoPb2, with properties calculated at the PBE level.

Computed properties:
The symmetry is P4/mmm (123). The total energy is -4.74 eV/atom. The calculation puts the formation energy without anion corrections at 0.607 eV/atom.

a = 3.674 Å, b = 3.674 Å, c = 7.312 Å
α = 90.00°, β = 90.00°, γ = 90.00°
Fractional coordinates of all 4 atoms:
Pb 0.000 0.000 0.539
Pb 0.000 0.000 0.961
Te 0.500 0.500 0.250
Mo 0.500 0.500 0.750



Below is an optimized crystal structure of Zn3C, with properties calculated at the PBE level.

Computed properties:
The symmetry is Cmmm (65). The total energy is -2.67 eV/atom. The calculation puts the formation energy at 596 meV per atom.

a = 3.473 Å, b = 4.869 Å, c = 4.869 Å
α = 46.46°, β = 90.00°, γ = 90.00°
Fractional coordinates of all 4 atoms:
C 0.000 0.000 0.000
Zn 0.000 0.500 0.500
Zn 0.500 0.848 0.848
Zn 0.500 0.152 0.152



Below is an optimized crystal structure of BC5, with properties calculated at the PBE level.

Computed properties:
The symmetry is C2/m (12). The total energy is -8.50 eV/atom. The calculation puts the formation energy at 295 meV per atom.

a = 6.772 Å, b = 6.827 Å, c = 6.827 Å
α = 158.14°, β = 141.32°, γ = 44.91°
Fractional coordinates of all 12 atoms:
C 0.126 0.459 0.667
C 0.624 0.959 0.665
C 0.501 0.499 0.002
C 0.640 0.626 0.014
C 0.003 0.332 0.671
C 0.485 0.833 0.653
C 0.122 0.127 0.995
C 0.999 0.000 0.000
C 0.002 0.666 0.335
C 0.123 0.792 0.331
B 0.486 0.146 0.340
B 0.639 0.312 0.327



Below is an optimized crystal structure of La4Pr7Nd, with properties calculated at the PBE level.

Computed properties:
The symmetry is C2/m (12). The total energy is -4.62 eV/atom. The calculation puts the formation energy at 205 meV per atom.

a = 6.225 Å, b = 12.135 Å, c = 6.922 Å
α = 83.66°, β = 63.28°, γ = 75.14°
Fractional coordinates of all 12 atoms:
Pr 0.369 0.499 0.764
Pr 0.065 0.680 0.190
Pr 0.631 0.501 0.236
Pr 0.211 0.078 0.500
Pr 0.789 0.922 0.500
Pr 0.935 0.320 0.810
Pr 0.500 0.000 0.000
La 0.235 0.326 0.204
La 0.765 0.674 0.796
La 0.362 0.777 0.500
La 0.638 0.223 0.500
Nd 0.000 0.000 0.000



Below is an optimized crystal structure of CuRhSe2, with properties calculated at the PBE level.

Computed properties:
The symmetry is Cmmm (65). The total energy is -4.47 eV/atom. The calculation puts the formation energy without anion corrections at 0.135 eV/atom.

a = 4.468 Å, b = 4.468 Å, c = 3.219 Å
α = 90.00°, β = 90.00°, γ = 95.02°
Fractional coordinates of all 4 atoms:
Se 0.000 0.000 0.000
Se 0.500 0.500 0.000
Rh 0.000 0.500 0.500
Cu 0.500 0.000 0.500



Below is an optimized crystal structure of FeSi2Pt, with properties calculated at the PBE level.

Computed properties:
The symmetry is F-43m (216). The total energy is -6.23 eV/atom. The calculation puts the formation energy without anion corrections at 0.107 eV/atom.

a = 4.285 Å, b = 4.285 Å, c = 4.285 Å
α = 60.00°, β = 60.00°, γ = 60.00°
Last column: magnetic moment on the atom in μB.
Fractional coordinates of all 4 atoms:
Si 0.000 0.000 0.000  0.02
Si 0.750 0.750 0.750  -0.03
Pt 0.250 0.250 0.250  0.14
Fe 0.500 0.500 0.500  2.40



no.,total moment (μB per formula unit)
1,0.0
2,0.0
3,0.0
4,0.0
5,0.0
6,2.5